# 1
VASP calculation (PBE) on a geometry-optimized SrGeAu6 structure.

extended XYZ file:
```
8
Lattice="3.486 2.013 4.341 -3.486 2.013 4.341 0.000 -4.026 4.341" Properties=species:S:1:pos:R:3 pbc="T T T"
Sr 0.000 0.000 0.000
Ge 0.000 0.000 6.511
Au -2.107 -1.217 5.684
Au 0.000 -2.433 7.337
Au -2.107 1.217 7.337
Au 2.107 -1.217 5.684
Au 0.000 2.433 5.684
Au 2.107 1.217 7.337
```

- volume (Å³/f.u.) = 182.7
- VASP energy (eV per atom) = -3.51
- magnetization (μB per formula unit) = 0.00
- calculated formation energy (meV per atom) = -266

***

# 2
VASP calculation (PBE) on a geometry-optimized RbHf2Ir structure.

extended XYZ file:
```
8
Lattice="-3.091 3.091 8.112 3.091 -3.091 8.112 3.091 3.091 -8.112" Properties=species:S:1:pos:R:3 pbc="T T T"
Rb 3.091 1.545 2.028
Rb 0.000 1.545 6.084
Hf 0.000 0.000 0.000
Hf 1.545 1.545 -4.056
Hf 1.545 -1.545 4.056
Hf 0.000 3.091 0.000
Ir 3.091 -1.545 6.084
Ir 0.000 4.636 2.028
```

- volume (Å³/f.u.) = 155.0
- VASP energy (eV per atom) = -6.56
- distance to the lowest polymorph of the same formula (meV/atom) = 225.2
- magnetization (μB per formula unit) = 0.00
- calculated formation energy (meV per atom) = 870

***

# 3
VASP calculation (PBE) on a geometry-optimized Nd2Er3Ni2 structure.

extended XYZ file:
```
7
Lattice="6.165 -1.800 0.000 6.165 1.800 0.000 -4.150 0.000 8.038" Properties=species:S:1:pos:R:3 pbc="T T T"
Nd 0.739 0.000 2.486
Nd 7.442 0.000 5.552
Er 4.439 0.000 0.539
Er 4.090 0.000 4.019
Er 3.742 0.000 7.498
Ni -1.006 0.000 5.958
Ni 9.187 0.000 2.080
```

- volume (Å³/f.u.) = 178.4
- VASP energy (eV per atom) = -5.22
- magnetization (μB per formula unit) = 0.00
- calculated formation energy (meV per atom) = -247

***

# 4
VASP calculation (PBE) on a geometry-optimized CuTeAs2 structure.

extended XYZ file:
```
4
Lattice="4.846 0.000 0.000 0.000 4.846 0.000 0.000 0.000 3.419" Properties=species:S:1:pos:R:3 pbc="T T T"
Cu 0.000 0.000 0.000
Te 2.423 2.423 0.000
As 0.000 2.423 1.710
As 2.423 0.000 1.710
```

- volume (Å³/f.u.) = 80.3
- VASP energy (eV per atom) = -3.60
- magnetization (μB per formula unit) = 0.00